Entry 1:
DFT (PBE) results for crystalline Ca2ZrPd9 at its relaxed geometry.

a b c (Å): 4.098 4.098 12.300
angles (deg): 90.00 90.00 90.00
Fractional positions:
Ca  0.000  0.000  0.169
Ca  0.000  0.000  0.831
Zr  0.000  0.000  0.500
Pd  0.000  0.500  0.000
Pd  0.000  0.500  0.343
Pd  0.000  0.500  0.657
Pd  0.500  0.000  0.000
Pd  0.500  0.000  0.343
Pd  0.500  0.000  0.657
Pd  0.500  0.500  0.171
Pd  0.500  0.500  0.500
Pd  0.500  0.500  0.829

Computed properties:
The calculation puts the calculated volume at 17.21 A^3/atom. For the formation energy, the calculation gives -14.23 kcal/mol of atoms. The calculation puts the theoretical density at 9.08 g cm⁻³. The crystal system is tetragonal.

***

Entry 2:
DFT (PBE) results for crystalline Ac6CoPd2Au at its relaxed geometry.

a b c (Å): 8.332 8.332 8.332
angles (deg): 54.47 54.47 54.47
Fractional positions:
Ac  0.004  0.321  0.675
Ac  0.145  0.847  0.532
Ac  0.321  0.675  0.004
Ac  0.532  0.145  0.847
Ac  0.675  0.004  0.321
Ac  0.847  0.532  0.145
Co  0.926  0.926  0.926
Pd  0.251  0.251  0.251
Pd  0.745  0.745  0.745
Au  0.425  0.425  0.425

Computed properties:
The calculation puts the calculated volume at 35.65 A^3/atom. For the formation energy, the calculation gives -10.24 kcal/mol of atoms. The calculation puts the theoretical density at 8.53 g cm⁻³. The crystal system is trigonal.

***

Entry 3:
DFT (PBE) results for crystalline Na2CuCl5 at its relaxed geometry.

a b c (Å): 6.982 6.982 11.803
angles (deg): 90.00 90.00 132.78
Fractional positions:
Na  0.170  0.830  0.583
Na  0.170  0.830  0.917
Na  0.830  0.170  0.083
Na  0.830  0.170  0.417
Cu  0.177  0.823  0.250
Cu  0.823  0.177  0.750
Cl  0.052  0.948  0.117
Cl  0.052  0.948  0.383
Cl  0.302  0.698  0.113
Cl  0.302  0.698  0.387
Cl  0.313  0.687  0.750
Cl  0.687  0.313  0.250
Cl  0.698  0.302  0.613
Cl  0.698  0.302  0.887
Cl  0.948  0.052  0.617
Cl  0.948  0.052  0.883

Computed properties:
The calculation puts the calculated volume at 26.39 A^3/atom. The calculation puts the theoretical density at 2.26 g cm⁻³. The crystal system is orthorhombic. The calculation puts the total energy at -3.017 eV per atom.

***

Entry 4:
DFT (PBE) results for crystalline InFe3Tc at its relaxed geometry.

a b c (Å): 4.518 4.518 4.518
angles (deg): 90.00 90.00 90.00
Fractional positions:
In  0.000  0.000  0.000
Fe  0.000  0.500  0.500
Fe  0.500  0.000  0.500
Fe  0.500  0.500  0.000
Tc  0.500  0.500  0.500

Computed properties:
The calculation puts the calculated volume at 18.44 A^3/atom. For the formation energy, the calculation gives 28.66 kcal/mol of atoms. The calculation puts the theoretical density at 6.85 g cm⁻³. The crystal system is cubic.

***

Entry 5:
DFT (PBE) results for crystalline KNp6Se8 at its relaxed geometry.

a b c (Å): 10.574 10.574 3.556
angles (deg): 90.00 90.00 120.00
Fractional positions:
K  0.000  0.000  0.000
Np  0.075  0.491  0.250
Np  0.416  0.925  0.250
Np  0.491  0.416  0.750
Np  0.509  0.584  0.250
Np  0.584  0.075  0.750
Np  0.925  0.509  0.750
Se  0.097  0.765  0.257
Se  0.235  0.332  0.257
Se  0.332  0.097  0.743
Se  0.333  0.667  0.751
Se  0.667  0.333  0.249
Se  0.668  0.903  0.257
Se  0.765  0.668  0.743
Se  0.903  0.235  0.743

Computed properties:
The calculation puts the calculated volume at 22.96 A^3/atom. The calculation puts the theoretical density at 10.09 g cm⁻³. The crystal system is trigonal. The calculation puts the total energy at -7.898 eV per atom.

***

Entry 6:
DFT (PBE) results for crystalline Ni2WBr at its relaxed geometry.

a b c (Å): 3.958 3.958 7.423
angles (deg): 90.00 90.00 90.00
Fractional positions:
Ni  0.000  0.500  0.250
Ni  0.000  0.500  0.750
Ni  0.500  0.000  0.250
Ni  0.500  0.000  0.750
W  0.000  0.000  0.000
W  0.500  0.500  0.500
Br  0.000  0.000  0.500
Br  0.500  0.500  0.000

Computed properties:
The calculation puts the calculated volume at 14.54 A^3/atom. The calculation puts the theoretical density at 10.88 g cm⁻³. The crystal system is tetragonal. The calculation puts the total energy at -5.484 eV per atom.

***

Please write out number 5 again, unchanged.
DFT (PBE) results for crystalline KNp6Se8 at its relaxed geometry.

a b c (Å): 10.574 10.574 3.556
angles (deg): 90.00 90.00 120.00
Fractional positions:
K  0.000  0.000  0.000
Np  0.075  0.491  0.250
Np  0.416  0.925  0.250
Np  0.491  0.416  0.750
Np  0.509  0.584  0.250
Np  0.584  0.075  0.750
Np  0.925  0.509  0.750
Se  0.097  0.765  0.257
Se  0.235  0.332  0.257
Se  0.332  0.097  0.743
Se  0.333  0.667  0.751
Se  0.667  0.333  0.249
Se  0.668  0.903  0.257
Se  0.765  0.668  0.743
Se  0.903  0.235  0.743

Computed properties:
The calculation puts the calculated volume at 22.96 A^3/atom. The calculation puts the theoretical density at 10.09 g cm⁻³. The crystal system is trigonal. The calculation puts the total energy at -7.898 eV per atom.